Below is a geometry-optimized Ac3Ni3Sn4 structure, with properties calculated at the PBE level.

Summary:
Calculated total energy = -5.07 eV/atom
Calculated formation energy = -0.501 eV per atom
ρ = 8661 kg/m3

The structure in POSCAR format:
```
Ac3Ni3Sn4
1.0
-5.036 5.036 5.036
5.036 -5.036 5.036
5.036 5.036 -5.036
Ac Ni Sn
6 6 8
direct
0.125 0.750 0.875
0.250 0.625 0.375
0.375 0.250 0.625
0.625 0.375 0.250
0.750 0.875 0.125
0.875 0.125 0.750
0.125 0.875 0.250
0.250 0.125 0.875
0.375 0.625 0.750
0.625 0.750 0.375
0.750 0.375 0.625
0.875 0.250 0.125
0.000 0.349 0.500
0.000 0.849 0.500
0.151 0.151 0.151
0.349 0.500 0.000
0.500 0.000 0.349
0.500 0.000 0.849
0.651 0.651 0.651
0.849 0.500 0.000
```